1.
The following is a DFT calculation (PBE-GGA) of an optimized crystal structure of Ac2SiS.

Summary:
- formation energy (no corrections) (meV/atom) = -1171.5
- crystal system = trigonal

Cell lengths 4.4138, 4.4138, 22.8743 Å; angles 90.00, 90.00, 120.00 degrees
Space group R3m (No. 160, hexagonal axes)
One atom of each set of equivalent atoms:
1 Ac 0.0000 0.0000 0.0000 [3 per cell]
2 Ac 0.0000 0.0000 0.1750 [3 per cell]
3 Si 0.0000 0.0000 0.5879 [3 per cell]
4 S 0.0000 0.0000 0.7575 [3 per cell]

***

2.
The following is a DFT calculation (PBE-GGA) of an optimized crystal structure of MnIn2Fe.

Summary:
- formation enthalpy at 0 K (kJ/mol of formula units) = 100
- crystal system = orthorhombic

Cell lengths 3.007, 4.558, 5.044 Å; angles 90.00, 90.00, 90.00 degrees
Space group Pmm2 (No. 25)
One atom of each set of equivalent atoms:
1 Mn 0.000 0.000 0.000 [1 per cell]
2 In 0.500 0.000 0.535 [1 per cell]
3 In 0.500 0.500 0.155 [1 per cell]
4 Fe 0.000 0.500 0.694 [1 per cell]

***

3.
The following is a DFT calculation (PBE-GGA) of an optimized crystal structure of Sm2ErIr9.

Summary:
- formation enthalpy at 0 K (kJ/mol of formula units) = -629
- crystal system = trigonal

Cell lengths 5.3233, 5.3233, 26.5505 Å; angles 90.00, 90.00, 120.00 degrees
Space group R-3m (No. 166, hexagonal axes)
One atom of each set of equivalent atoms:
1 Sm 0.0000 0.0000 0.1392 [6 per cell]
2 Er 0.0000 0.0000 0.0000 [3 per cell]
3 Ir 0.0000 0.0000 0.3324 [6 per cell]
4 Ir 0.0000 0.0000 0.5000 [3 per cell]
5 Ir 0.0021 0.5010 0.0811 [18 per cell]

***

4.
The following is a DFT calculation (PBE-GGA) of an optimized crystal structure of CsPrAg2Br8.

Summary:
- formation energy (no corrections) (meV/atom) = -945.7
- crystal system = tetragonal

Cell lengths 7.292, 7.292, 16.263 Å; angles 90.00, 90.00, 90.00 degrees
Space group I-4 (No. 82)
One atom of each set of equivalent atoms:
1 Cs 0.000 0.000 0.000 [2 per cell]
2 Pr 0.000 0.500 0.250 [2 per cell]
3 Ag 0.000 0.000 0.500 [2 per cell]
4 Ag 0.000 0.500 0.750 [2 per cell]
5 Br 0.115 0.283 0.406 [8 per cell]
6 Br 0.169 0.789 0.807 [8 per cell]

***

5.
The following is a DFT calculation (PBE-GGA) of an optimized crystal structure of HfAuI2O.

Summary:
- formation energy (no corrections) (meV/atom) = -841.6
- crystal system = tetragonal

Cell lengths 5.787, 5.787, 3.959 Å; angles 90.00, 90.00, 90.00 degrees
Space group P4/mmm (No. 123)
One atom of each set of equivalent atoms:
1 Hf 0.000 0.000 0.000 [1 per cell]
2 Au 0.500 0.500 0.500 [1 per cell]
3 I 0.000 0.500 0.000 [2 per cell]
4 O 0.000 0.000 0.500 [1 per cell]

***

6.
The following is a DFT calculation (PBE-GGA) of an optimized crystal structure of Eu2PbSe.

Summary:
- formation energy (no corrections) (meV/atom) = -1184.2
- crystal system = trigonal

Cell lengths 4.1843, 4.1843, 25.4290 Å; angles 90.00, 90.00, 120.00 degrees
Space group R-3m (No. 166, hexagonal axes)
One atom of each set of equivalent atoms:
1 Eu 0.0000 0.0000 0.2381 [6 per cell]
2 Pb 0.0000 0.0000 0.0000 [3 per cell]
3 Se 0.0000 0.0000 0.5000 [3 per cell]

***

7.
The following is a DFT calculation (PBE-GGA) of an optimized crystal structure of ThFeCoC.

Summary:
- formation enthalpy at 0 K (kJ/mol of formula units) = -5
- crystal system = orthorhombic

Cell lengths 3.330, 3.778, 9.606 Å; angles 90.00, 90.00, 90.00 degrees
Space group Imm2 (No. 44)
One atom of each set of equivalent atoms:
1 Th 0.000 0.000 0.000 [2 per cell]
2 Fe 0.000 0.000 0.281 [2 per cell]
3 Co 0.000 0.000 0.698 [2 per cell]
4 C 0.000 0.500 0.290 [2 per cell]

***

8.
The following is a DFT calculation (PBE-GGA) of an optimized crystal structure of MnNi2N2.

Summary:
- formation energy (no corrections) (meV/atom) = 173.6
- crystal system = trigonal

Cell lengths 2.8837, 2.8837, 6.4781 Å; angles 90.00, 90.00, 120.00 degrees
Space group P-3m1 (No. 164)
One atom of each set of equivalent atoms:
1 Mn 0.0000 0.0000 0.0000 [1 per cell]
2 Ni 0.3333 0.6667 0.3440 [2 per cell]
3 N 0.3333 0.6667 0.8211 [2 per cell]

***

9.
The following is a DFT calculation (PBE-GGA) of an optimized crystal structure of CrCu2Rh.

Summary:
- formation enthalpy at 0 K (kJ/mol of formula units) = 72
- crystal system = orthorhombic

Cell lengths 2.778, 4.307, 8.563 Å; angles 90.00, 90.00, 90.00 degrees
Space group Cmm2 (No. 35)
One atom of each set of equivalent atoms:
1 Cr 0.000 0.000 0.000 [2 per cell]
2 Cu 0.000 0.000 0.492 [2 per cell]
3 Cu 0.000 0.500 0.249 [2 per cell]
4 Rh 0.000 0.500 0.756 [2 per cell]

***

10.
The following is a DFT calculation (PBE-GGA) of an optimized crystal structure of Ac2PPb.

Summary:
- formation enthalpy at 0 K (kJ/mol of formula units) = -317
- crystal system = tetragonal

Cell lengths 3.803, 3.803, 8.526 Å; angles 90.00, 90.00, 90.00 degrees
Space group P4/mmm (No. 123)
One atom of each set of equivalent atoms:
1 Ac 0.000 0.000 0.211 [2 per cell]
2 P 0.500 0.500 0.000 [1 per cell]
3 Pb 0.500 0.500 0.500 [1 per cell]

***

11.
The following is a DFT calculation (PBE-GGA) of an optimized crystal structure of NbNiSn.

Summary:
- formation enthalpy at 0 K (kJ/mol of formula units) = -31
- crystal system = orthorhombic

Cell lengths 4.966, 6.350, 6.413 Å; angles 90.00, 90.00, 90.00 degrees
Space group Ima2 (No. 46)
One atom of each set of equivalent atoms:
1 Nb 0.250 0.148 0.000 [4 per cell]
2 Ni 0.000 0.000 0.354 [4 per cell]
3 Sn 0.250 0.674 0.188 [4 per cell]

***

12.
The following is a DFT calculation (PBE-GGA) of an optimized crystal structure of PmEr15In4.

Summary:
- formation enthalpy at 0 K (kJ/mol of formula units) = -379
- crystal system = tetragonal

Cell lengths 4.820, 4.820, 24.521 Å; angles 90.00, 90.00, 90.00 degrees
Space group P4/mmm (No. 123)
One atom of each set of equivalent atoms:
1 Pm 0.000 0.000 0.000 [1 per cell]
2 Er 0.000 0.500 0.106 [4 per cell]
3 Er 0.000 0.500 0.304 [4 per cell]
4 Er 0.000 0.500 0.500 [2 per cell]
5 Er 0.500 0.500 0.000 [1 per cell]
6 Er 0.500 0.500 0.206 [2 per cell]
7 Er 0.500 0.500 0.402 [2 per cell]
8 In 0.000 0.000 0.206 [2 per cell]
9 In 0.000 0.000 0.402 [2 per cell]

***

13.
The following is a DFT calculation (PBE-GGA) of an optimized crystal structure of Pm3TmSi2.

Summary:
- formation energy (no corrections) (meV/atom) = -227.4
- crystal system = trigonal

Cell lengths 7.7599, 7.7599, 19.9838 Å; angles 90.00, 90.00, 120.00 degrees
Space group R-3c (No. 167, hexagonal axes)
One atom of each set of equivalent atoms:
1 Pm 0.0000 0.2773 0.2500 [18 per cell]
2 Tm 0.0000 0.0000 0.0000 [6 per cell]
3 Si 0.0000 0.0000 0.1451 [12 per cell]

***

14.
The following is a DFT calculation (PBE-GGA) of an optimized crystal structure of Co2TcPt.

Summary:
- formation enthalpy at 0 K (kJ/mol of formula units) = 100
- crystal system = orthorhombic

Cell lengths 2.684, 4.449, 4.595 Å; angles 90.00, 90.00, 90.00 degrees
Space group Pmmm (No. 47)
One atom of each set of equivalent atoms:
1 Co 0.000 0.000 0.000 [1 per cell]
2 Co 0.500 0.000 0.500 [1 per cell]
3 Tc 0.000 0.500 0.500 [1 per cell]
4 Pt 0.500 0.500 0.000 [1 per cell]

***

15.
The following is a DFT calculation (PBE-GGA) of an optimized crystal structure of K2SrTc.

Summary:
- formation enthalpy at 0 K (kJ/mol of formula units) = 412
- crystal system = tetragonal

Cell lengths 6.013, 6.013, 8.542 Å; angles 90.00, 90.00, 90.00 degrees
Space group I-4m2 (No. 119)
One atom of each set of equivalent atoms:
1 K 0.000 0.000 0.000 [2 per cell]
2 K 0.000 0.500 0.250 [2 per cell]
3 Sr 0.000 0.500 0.750 [2 per cell]
4 Tc 0.000 0.000 0.500 [2 per cell]

***

16.
The following is a DFT calculation (PBE-GGA) of an optimized crystal structure of CrInCuNi.

Summary:
- formation enthalpy at 0 K (kJ/mol of formula units) = 49
- crystal system = cubic

Cell lengths 6.143, 6.143, 6.143 Å; angles 90.00, 90.00, 90.00 degrees
Space group F-43m (No. 216)
One atom of each set of equivalent atoms:
1 Cr 0.000 0.000 0.000 [4 per cell]
2 In 0.000 0.000 0.500 [4 per cell]
3 Cu 0.250 0.250 0.750 [4 per cell]
4 Ni 0.250 0.250 0.250 [4 per cell]

***

17.
The following is a DFT calculation (PBE-GGA) of an optimized crystal structure of Er2Mg3TaN6.

Summary:
- formation energy (no corrections) (meV/atom) = -1128.4
- crystal system = monoclinic

Cell lengths 5.677, 9.854, 5.494 Å; angles 90.00, 110.08, 90.00 degrees
Space group C2/m (No. 12)
One atom of each set of equivalent atoms:
1 Er 0.000 0.167 0.000 [4 per cell]
2 Mg 0.000 0.000 0.500 [2 per cell]
3 Mg 0.000 0.339 0.500 [4 per cell]
4 Ta 0.000 0.500 0.000 [2 per cell]
5 N 0.230 0.500 0.764 [4 per cell]
6 N 0.234 0.346 0.244 [8 per cell]

***

18.
The following is a DFT calculation (PBE-GGA) of an optimized crystal structure of CeZn2Sn.

Summary:
- formation enthalpy at 0 K (kJ/mol of formula units) = -63
- crystal system = orthorhombic

Cell lengths 4.426, 5.762, 7.306 Å; angles 90.00, 90.00, 90.00 degrees
Space group Amm2 (No. 38)
One atom of each set of equivalent atoms:
1 Ce 0.000 0.000 0.000 [2 per cell]
2 Zn 0.000 0.000 0.446 [2 per cell]
3 Zn 0.500 0.000 0.286 [2 per cell]
4 Sn 0.500 0.000 0.678 [2 per cell]

***

19.
The following is a DFT calculation (PBE-GGA) of an optimized crystal structure of LaW2C.

Summary:
- formation enthalpy at 0 K (kJ/mol of formula units) = 291
- crystal system = cubic

Cell lengths 8.905, 8.905, 8.905 Å; angles 90.00, 90.00, 90.00 degrees
Space group Fd-3m (No. 227, origin choice 2)
One atom of each set of equivalent atoms:
1 La 0.125 0.125 0.125 [8 per cell]
2 W 0.000 0.000 0.500 [16 per cell]
3 C 0.125 0.125 0.625 [8 per cell]

***

20.
The following is a DFT calculation (PBE-GGA) of an optimized crystal structure of Er2ThPd.

Summary:
- formation enthalpy at 0 K (kJ/mol of formula units) = -110
- crystal system = trigonal

Cell lengths 3.6104, 3.6104, 29.1950 Å; angles 90.00, 90.00, 120.00 degrees
Space group R-3m (No. 166, hexagonal axes)
One atom of each set of equivalent atoms:
1 Er 0.0000 0.0000 0.2335 [6 per cell]
2 Th 0.0000 0.0000 0.0000 [3 per cell]
3 Pd 0.0000 0.0000 0.5000 [3 per cell]